Entry 1:
Compound: Sc3Pt5
Source: Alexandria
Functional: PBE-GGA
Structure: relaxed

calculated total energy	-7.301	eV/atom
crystal system	orthorhombic
symmetry	Cmmm
calculated volume	136	Å³ per cell
formation energy	-9.21	eV per formula unit
polymorph energy (0 for the lowest one)	0	meV per atom
magnetic moment	0.0	μB/f.u.

Lattice parameters (Å, degrees): 5.634 5.634 4.306 90.00 90.00 95.27
Sites, in units of the cell vectors:
Sc (0.000, 0.000, 0.000)
Sc (0.288, 0.712, 0.500)
Sc (0.712, 0.288, 0.500)
Pt (0.000, 0.500, 0.000)
Pt (0.217, 0.217, 0.500)
Pt (0.500, 0.000, 0.000)
Pt (0.500, 0.500, 0.000)
Pt (0.783, 0.783, 0.500)

Entry 2:
Compound: Sm5Zn4Ag
Source: Alexandria
Functional: PBE-GGA
Structure: relaxed

calculated total energy	-3.469	eV/atom
crystal system	tetragonal
symmetry	P4/mmm
calculated volume	244	Å³ per cell
formation energy	-3.14	eV per formula unit
magnetic moment	0.0	μB/f.u.

Lattice parameters (Å, degrees): 3.664 3.664 18.179 90.00 90.00 90.00
Sites, in units of the cell vectors:
Sm (0.000, 0.000, 0.000)
Sm (0.000, 0.000, 0.199)
Sm (0.000, 0.000, 0.395)
Sm (0.000, 0.000, 0.605)
Sm (0.000, 0.000, 0.801)
Zn (0.500, 0.500, 0.100)
Zn (0.500, 0.500, 0.296)
Zn (0.500, 0.500, 0.704)
Zn (0.500, 0.500, 0.900)
Ag (0.500, 0.500, 0.500)

Entry 3:
Compound: Cs2NaSr2
Source: Alexandria
Functional: PBE-GGA
Structure: relaxed

calculated total energy	-1.048	eV/atom
crystal system	tetragonal
symmetry	I4/mmm
calculated volume	396	Å³ per cell
formation energy	1.15	eV per formula unit
polymorph energy (0 for the lowest one)	26	meV per atom
magnetic moment	0.0	μB/f.u.

Lattice parameters (Å, degrees): 13.511 13.511 13.511 156.36 156.36 33.68
Sites, in units of the cell vectors:
Cs (0.095, 0.095, 0.000)
Cs (0.905, 0.905, 0.000)
Na (0.500, 0.500, 0.000)
Sr (0.250, 0.750, 0.500)
Sr (0.750, 0.250, 0.500)

Entry 4:
Compound: AgRhBr2O
Source: Alexandria
Functional: PBE-GGA
Structure: relaxed

calculated total energy	-3.454	eV/atom
raw formation energy	0.2469	eV/atom
crystal system	tetragonal
symmetry	P4/mmm
calculated volume	116	Å³ per cell
magnetic moment	0.0	μB/f.u.

Lattice parameters (Å, degrees): 5.675 5.675 3.599 90.00 90.00 90.00
Sites, in units of the cell vectors:
Ag (0.000, 0.000, 0.000)
Rh (0.500, 0.500, 0.000)
Br (0.000, 0.500, 0.500)
Br (0.500, 0.000, 0.500)
O (0.500, 0.500, 0.500)

Entry 5:
Compound: ScPd2Rh
Source: Alexandria
Functional: PBE-GGA
Structure: relaxed

calculated total energy	-6.549	eV/atom
crystal system	cubic
symmetry	Fm-3m
calculated volume	65	Å³ per cell
formation energy	-2.13	eV per formula unit
magnetic moment	0.0	μB/f.u.

Lattice parameters (Å, degrees): 4.508 4.508 4.508 60.00 60.00 60.00
Sites, in units of the cell vectors:
Sc (0.000, 0.000, 0.000)
Pd (0.250, 0.250, 0.250)
Pd (0.750, 0.750, 0.750)
Rh (0.500, 0.500, 0.500)

Entry 6:
Compound: HgTeBr3
Source: Alexandria
Functional: PBE-GGA
Structure: relaxed

calculated total energy	-1.852	eV/atom
raw formation energy	-0.1597	eV/atom
crystal system	cubic
symmetry	Pm-3m
calculated volume	179	Å³ per cell
polymorph energy (0 for the lowest one)	176	meV per atom
magnetic moment	0.0	μB/f.u.

Lattice parameters (Å, degrees): 5.637 5.637 5.637 90.00 90.00 90.00
Sites, in units of the cell vectors:
Hg (0.000, 0.000, 0.000)
Te (0.500, 0.500, 0.500)
Br (0.000, 0.500, 0.500)
Br (0.500, 0.000, 0.500)
Br (0.500, 0.500, 0.000)